{
  "formula": "Na2VSbO4",
  "functional": "PBE with a Hubbard U",
  "state": "relaxed",
  "lattice": [[6.0712, -0.8143, 0.1910], [-0.7964, 5.5640, 0.0081], [-2.5339, -2.3394, 3.2709]],
  "species": ["O", "O", "O", "O", "Na", "Na", "Sb", "V"],
  "fractional_positions": [[0.0245, 0.1237, 0.7485], [0.7237, 0.6303, 0.7800], [0.9497, 0.4844, 0.3542], [0.3675, 0.8542, 0.3109], [0.1878, 0.1937, 0.3796], [0.4504, 0.9399, 0.8910], [0.6939, 0.6707, 0.3611], [0.9897, 0.4901, 0.9488]],
  "crystal_system": "triclinic",
  "e_tot_ev_per_cell": -46.83,
  "dos_ef_per_ev_atom": 0.000
}